Record 1
First-principles (PBE) data for a relaxed Pu2ZrIn crystal, as listed in the Alexandria database.

Cell lengths 4.396, 4.396, 4.989 Å; angles 90.00, 90.00, 90.00 degrees
Positions (direct):
Pu1 0.000 0.500 0.000
Pu2 0.500 0.000 0.000
Zr1 0.000 0.000 0.500
In1 0.500 0.500 0.500

M_tot: 2.776 μB per atom
Space group: P4/mmm (123)
ΔH_f (0 K): -79 meV per atom
Relative energy among the computed polymorphs: 0.0 meV per atom
Electronic total energy: -10.0668 eV per atom

---

Record 2
First-principles (PBE) data for a relaxed PuZr2In crystal, as listed in the Alexandria database.

Cell lengths 10.325, 10.325, 10.325 Å; angles 18.32, 18.32, 18.32 degrees
Positions (direct):
Pu1 0.000 0.000 0.000
Zr1 0.250 0.250 0.250
Zr2 0.750 0.750 0.750
In1 0.500 0.500 0.500

M_tot: 1.348 μB per atom
Space group: R-3m (166)
ΔH_f (0 K): -13 meV per atom
Relative energy among the computed polymorphs: 117.6 meV per atom
Electronic total energy: -8.5543 eV per atom

---

Record 3
First-principles (PBE) data for a relaxed PuZr2In crystal, as listed in the Alexandria database.

Cell lengths 5.071, 5.071, 5.071 Å; angles 60.00, 60.00, 60.00 degrees
Positions (direct):
Pu1 0.000 0.000 0.000
Zr1 0.250 0.250 0.250
Zr2 0.750 0.750 0.750
In1 0.500 0.500 0.500

M_tot: 1.640 μB per atom
Space group: Fm-3m (225)
ΔH_f (0 K): -25 meV per atom
Relative energy among the computed polymorphs: 105.3 meV per atom
Electronic total energy: -8.5667 eV per atom

---

Record 4
First-principles (PBE) data for a relaxed RbIn crystal, as listed in the Alexandria database.

Cell lengths 9.566, 9.566, 9.566 Å; angles 109.47, 109.47, 109.47 degrees
Positions (direct):
Rb1 0.000 0.000 0.583
Rb2 0.000 0.583 0.000
Rb3 0.417 0.417 0.417
Rb4 0.583 0.000 0.000
In1 0.000 0.000 0.201
In2 0.000 0.201 0.000
In3 0.201 0.000 0.000
In4 0.799 0.799 0.799

M_tot: 0.498 μB per atom
Space group: I-43m (217)
ΔH_f (0 K): 182 meV per atom
Relative energy among the computed polymorphs: 273.7 meV per atom
Electronic total energy: -1.6709 eV per atom

---

Record 5
First-principles (PBE) data for a relaxed RbIn crystal, as listed in the Alexandria database.

Cell lengths 6.399, 6.399, 7.566 Å; angles 90.00, 90.00, 120.00 degrees
Positions (direct):
Rb1 0.333 0.667 0.250
Rb2 0.667 0.333 0.750
In1 0.333 0.667 0.750
In2 0.667 0.333 0.250

M_tot: 0.000 μB per atom
Space group: P6_3/mmc (194)
ΔH_f (0 K): 494 meV per atom
Relative energy among the computed polymorphs: 586.0 meV per atom
Electronic total energy: -1.3586 eV per atom

---

Record 6
First-principles (PBE) data for a relaxed RbIn crystal, as listed in the Alexandria database.

Cell lengths 4.042, 8.346, 8.346 Å; angles 90.45, 90.00, 90.00 degrees
Positions (direct):
Rb1 0.000 0.000 0.000
Rb2 0.000 0.232 0.563
Rb3 0.000 0.563 0.232
In1 0.500 0.413 0.892
In2 0.500 0.683 0.683
In3 0.500 0.892 0.413

M_tot: 0.000 μB per atom
Space group: Amm2 (38)
ΔH_f (0 K): 87 meV per atom
Relative energy among the computed polymorphs: 178.6 meV per atom
Electronic total energy: -1.7660 eV per atom

---

Record 7
First-principles (PBE) data for a relaxed Rb2In17 crystal, as listed in the Alexandria database.

Cell lengths 8.386, 8.386, 8.386 Å; angles 82.36, 82.36, 82.36 degrees
Positions (direct):
Rb1 0.160 0.160 0.160
Rb2 0.840 0.840 0.840
In1 0.000 0.500 0.500
In2 0.146 0.146 0.650
In3 0.146 0.650 0.146
In4 0.208 0.500 0.792
In5 0.208 0.792 0.500
In6 0.350 0.854 0.854
In7 0.402 0.402 0.402
In8 0.500 0.000 0.500
In9 0.500 0.208 0.792
In10 0.500 0.500 0.000
In11 0.500 0.792 0.208
In12 0.598 0.598 0.598
In13 0.650 0.146 0.146
In14 0.792 0.208 0.500
In15 0.792 0.500 0.208
In16 0.854 0.350 0.854
In17 0.854 0.854 0.350

M_tot: 0.000 μB per atom
Space group: R-3m (166)
ΔH_f (0 K): -29 meV per atom
Electronic total energy: -2.5811 eV per atom

---

Record 8
First-principles (PBE) data for a relaxed RbIn crystal, as listed in the Alexandria database.

Cell lengths 10.798, 10.010, 6.356 Å; angles 79.12, 65.56, 35.32 degrees
Positions (direct):
Rb1 0.043 0.707 0.043
Rb2 0.293 0.957 0.293
Rb3 0.707 0.043 0.707
Rb4 0.957 0.293 0.957
In1 0.294 0.294 0.456
In2 0.456 0.456 0.294
In3 0.544 0.544 0.706
In4 0.706 0.706 0.544

M_tot: 0.000 μB per atom
Space group: Fddd (70)
ΔH_f (0 K): 38 meV per atom
Relative energy among the computed polymorphs: 129.6 meV per atom
Electronic total energy: -1.8150 eV per atom

---

Record 9
First-principles (PBE) data for a relaxed RbIn crystal, as listed in the Alexandria database.

Cell lengths 10.037, 10.037, 10.037 Å; angles 92.05, 92.05, 158.19 degrees
Positions (direct):
Rb1 0.135 0.333 0.468
Rb2 0.333 0.865 0.199
Rb3 0.667 0.135 0.801
Rb4 0.865 0.667 0.532
In1 0.058 0.861 0.919
In2 0.139 0.058 0.197
In3 0.861 0.942 0.803
In4 0.942 0.139 0.081

M_tot: 0.000 μB per atom
Space group: I4/m (87)
ΔH_f (0 K): 80 meV per atom
Relative energy among the computed polymorphs: 171.7 meV per atom
Electronic total energy: -1.7729 eV per atom

---

Record 10
First-principles (PBE) data for a relaxed RbIn crystal, as listed in the Alexandria database.

Cell lengths 5.898, 5.898, 5.898 Å; angles 60.00, 60.00, 60.00 degrees
Positions (direct):
Rb1 0.000 0.000 0.000
In1 0.750 0.750 0.750

M_tot: 0.000 μB per atom
Space group: F-43m (216)
ΔH_f (0 K): 599 meV per atom
Relative energy among the computed polymorphs: 690.5 meV per atom
Electronic total energy: -1.2541 eV per atom

---

Record 11
First-principles (PBE) data for a relaxed RbIn crystal, as listed in the Alexandria database.

Cell lengths 7.056, 7.056, 5.140 Å; angles 90.00, 90.00, 129.44 degrees
Positions (direct):
Rb1 0.149 0.851 0.750
Rb2 0.851 0.149 0.250
In1 0.453 0.547 0.750
In2 0.547 0.453 0.250

M_tot: 0.000 μB per atom
Space group: Cmcm (63)
ΔH_f (0 K): -52 meV per atom
Relative energy among the computed polymorphs: 39.9 meV per atom
Electronic total energy: -1.9047 eV per atom

---

Record 12
First-principles (PBE) data for a relaxed RbIn crystal, as listed in the Alexandria database.

Cell lengths 7.291, 7.291, 6.834 Å; angles 90.00, 90.00, 76.07 degrees
Positions (direct):
Rb1 0.026 0.320 0.250
Rb2 0.320 0.026 0.750
Rb3 0.680 0.974 0.250
Rb4 0.974 0.680 0.750
In1 0.237 0.763 0.250
In2 0.500 0.500 0.000
In3 0.500 0.500 0.500
In4 0.763 0.237 0.750

M_tot: 0.000 μB per atom
Space group: Cmcm (63)
ΔH_f (0 K): -84 meV per atom
Relative energy among the computed polymorphs: 7.2 meV per atom
Electronic total energy: -1.9374 eV per atom

---

What is the formula in the sixth record? RbIn

---

Copy entry 1 word for word.
First-principles (PBE) data for a relaxed Pu2ZrIn crystal, as listed in the Alexandria database.

Cell lengths 4.396, 4.396, 4.989 Å; angles 90.00, 90.00, 90.00 degrees
Positions (direct):
Pu1 0.000 0.500 0.000
Pu2 0.500 0.000 0.000
Zr1 0.000 0.000 0.500
In1 0.500 0.500 0.500

M_tot: 2.776 μB per atom
Space group: P4/mmm (123)
ΔH_f (0 K): -79 meV per atom
Relative energy among the computed polymorphs: 0.0 meV per atom
Electronic total energy: -10.0668 eV per atom

---

Which value of electronic total energy does entry 5 give? -1.3586 eV per atom